Entry 1:
# Li2AgH6Rh (PBE, optimized geometry)
data_Li2AgH6Rh
_chemical_formula_sum 'Li2 Ag1 H6 Rh1'
_space_group_name_H-M_alt 'P -1'
_space_group_IT_number 2
_cell_length_a 4.900
_cell_length_b 4.906
_cell_length_c 4.915
_cell_angle_alpha 60.26
_cell_angle_beta 60.98
_cell_angle_gamma 61.11
loop_
_space_group_symop_operation_xyz
'x,y,z'
'-x,-y,-z'
loop_
_atom_site_label
_atom_site_fract_x
_atom_site_fract_y
_atom_site_fract_z
_atom_site_occupancy
Li1 0.232 0.253 0.252 1
Ag1 0.500 0.500 0.500 1
H1 0.160 0.827 0.304 1
H2 0.163 0.302 0.831 1
H3 0.336 0.777 0.776 1
Rh1 0.000 0.000 0.000 1
# E_tot   -36.38 eV per cell

---

Entry 2:
# LiAg2H8Rh3 (PBE, optimized geometry)
data_LiAg2H8Rh3
_chemical_formula_sum 'Li3 Ag6 H24 Rh9'
_space_group_name_H-M_alt 'R 3 m'
_space_group_IT_number 160
_space_group_name_Hall 'R 3 -2"'
_cell_length_a 5.6267
_cell_length_b 5.6267
_cell_length_c 14.3035
_cell_angle_alpha 90.00
_cell_angle_beta 90.00
_cell_angle_gamma 120.00
loop_
_atom_site_label
_atom_site_fract_x
_atom_site_fract_y
_atom_site_fract_z
_atom_site_occupancy
Li1 0.0000 0.0000 0.0000 1
Ag1 0.0000 0.0000 0.2638 1
Ag2 0.0000 0.0000 0.6273 1
H1 0.0000 0.0000 0.3985 1
H2 0.0000 0.0000 0.8567 1
H3 0.0279 0.5140 0.4045 1
H4 0.1710 0.3421 0.1812 1
Rh1 0.0000 0.5000 0.1280 1
# E_tot   -172.60 eV per cell
# N(E_F)   4.9 states/eV/cell